VASP calculation (GGA-PBE) on an optimized crystal structure of ErThScTl.

Cell: 5.347 5.347 5.347 Å, 60.00 60.00 60.00°
Each line ends with the local moment (μB).
Element x y z (fractional)
Tl (0.000, 0.000, 0.000)  0.00
Sc (0.250, 0.250, 0.250)  0.22
Er (0.750, 0.750, 0.750)  0.23
Th (0.500, 0.500, 0.500)  0.39

Summary:
The mass density is 9.96 g cm⁻³. The density of states at the Fermi level comes out at 7.1 states/eV per cell. The symmetry is No. 216. The calculation puts the formation energy at 0.071 eV per atom.

VASP calculation (GGA-PBE) on an optimized crystal structure of PaVRe.

Cell: 4.522 4.522 2.930 Å, 90.00 90.00 120.00°
Element x y z (fractional)
Re (0.000, 0.000, 0.974)
V (0.667, 0.333, 0.371)
Pa (0.333, 0.667, 0.655)

Summary:
The mass density is 14.98 g cm⁻³. The density of states at the Fermi level comes out at 3.4 states/eV per cell. The symmetry is No. 156. The calculation puts the formation energy at 0.125 eV per atom. The value obtained for the energy relative to the lowest polymorph listed for this composition is 260 meV per atom.

VASP calculation (GGA-PBE) on an optimized crystal structure of KGe.

Cell: 4.079 10.132 6.702 Å, 90.00 90.00 90.00°
Element x y z (fractional)
K (0.000, 0.183, 0.900)
K (0.000, 0.817, 0.900)
K (0.500, 0.317, 0.400)
Ge (0.000, 0.000, 0.376)
Ge (0.500, 0.500, 0.876)
Ge (0.000, 0.500, 0.089)
Ge (0.500, 0.000, 0.589)
K (0.500, 0.683, 0.400)

Summary:
The mass density is 2.68 g cm⁻³. The density of states at the Fermi level comes out at 2.1 states/eV per cell. The symmetry is No. 44. The calculation puts the formation energy at -0.098 eV per atom. The value obtained for the energy relative to the lowest polymorph listed for this composition is 115 meV per atom.

VASP calculation (GGA-PBE) on an optimized crystal structure of PmPuAs.

Cell: 4.346 4.668 4.668 Å, 120.00 90.00 90.00°
Each line ends with the local moment (μB).
Element x y z (fractional)
Pm (0.051, 0.000, 0.000)  0.32
Pu (0.589, 0.333, 0.667)  5.59
As (0.360, 0.667, 0.333)  -0.05

Summary:
The mass density is 9.39 g cm⁻³. The density of states at the Fermi level comes out at 8.7 states/eV per cell. The symmetry is No. 156. The calculation puts the formation energy at -0.443 eV per atom. The value obtained for the energy relative to the lowest polymorph listed for this composition is 123 meV per atom.

VASP calculation (GGA-PBE) on an optimized crystal structure of MgCu2F.

Cell: 4.315 4.315 4.315 Å, 60.00 60.00 60.00°
Element x y z (fractional)
Cu (0.250, 0.250, 0.250)
Cu (0.750, 0.750, 0.750)
Mg (0.500, 0.500, 0.500)
F (0.000, 0.000, 0.000)

Summary:
The mass density is 4.98 g cm⁻³. The density of states at the Fermi level comes out at 1.6 states/eV per cell. The value obtained for the uncorrected formation energy is -0.1328 eV per atom. The symmetry is No. 225. The value obtained for the energy relative to the lowest polymorph listed for this composition is 450 meV per atom.

VASP calculation (GGA-PBE) on an optimized crystal structure of PaBeRe.

Cell: 4.642 5.253 5.253 Å, 64.24 63.78 63.78°
Element x y z (fractional)
Be (0.000, 0.000, 0.000)
Pa (0.133, 0.617, 0.617)
Be (0.500, 0.000, 0.000)
Re (0.500, 0.000, 0.500)
Re (0.500, 0.500, 0.000)
Pa (0.867, 0.383, 0.383)

Summary:
The mass density is 14.38 g cm⁻³. The density of states at the Fermi level comes out at 5.8 states/eV per cell. The symmetry is No. 74. The calculation puts the formation energy at -0.143 eV per atom. The value obtained for the energy relative to the lowest polymorph listed for this composition is 0 meV per atom.

Look up the mass density of the sixth one.
14.38 g cm⁻³